1.
## ZnGa2Au (PBE)

Data for ZnGa2Au after structural relaxation.

Properties
D(E_F): 0.1783 states/eV per atom
SG: No. 160
ΔH_f (0 K): -0.103 eV/atom

a b c (Å): 5.2494 5.2494 5.2494
angles (deg): 48.75 48.75 48.75
With the nearest neighbours (Å) after each atom.
Fractional coordinates of all 4 atoms:
Zn 0.0000 0.0000 0.0000  1 Au 2.67, 6 Ga 2.71-2.97
Ga 0.5911 0.5911 0.5911  1 Ga 2.65, 3 Au 2.66, 3 Zn 2.71
Ga 0.7823 0.7823 0.7823  1 Ga 2.65, 3 Au 2.72
Au 0.1927 0.1927 0.1927  6 Ga 2.66-2.72, 1 Zn 2.67



2.
## Cu2Ag5Au12 (PBE)

Data for Cu2Ag5Au12 after structural relaxation.

Properties
D(E_F): 0.2910 states/eV per atom
SG: No. 12
ΔH_f (0 K): 0.041 eV/atom

a b c (Å): 9.6677 9.6677 7.1470
angles (deg): 110.98 110.98 33.96
With the nearest neighbours (Å) after each atom.
Fractional coordinates of all 19 atoms:
Cu 0.2293 0.7707 0.0000  1 Cu 2.59, 6 Au 2.63-2.82
Cu 0.7707 0.2293 0.0000  1 Cu 2.59, 6 Au 2.63-2.82
Ag 0.1580 0.1580 0.1053  9 Au 2.81-2.92, 1 Ag 2.91, 2 Cu 3.02
Ag 0.2562 0.2562 0.5330  9 Au 2.85-3.14, 3 Ag 2.86-2.91
Ag 0.5000 0.5000 0.5000  4 Au 2.76
Ag 0.7438 0.7438 0.4670  9 Au 2.85-3.14, 3 Ag 2.86-2.91
Ag 0.8420 0.8420 0.8947  9 Au 2.81-2.92, 1 Ag 2.91, 2 Cu 3.02
Au 0.0452 0.0452 0.7100  1 Ag 2.81, 2 Cu 2.82, 5 Au 2.84-2.94
Au 0.0588 0.5545 0.2073  6 Au 2.80-2.94, 3 Ag 2.91-2.92
Au 0.1461 0.6514 0.6261  1 Cu 2.63, 3 Ag 2.76-2.87, 4 Au 2.79-2.90
Au 0.3486 0.8539 0.3739  1 Cu 2.63, 3 Ag 2.76-2.87, 4 Au 2.79-2.90
Au 0.3765 0.3765 0.9643  2 Cu 2.68, 4 Au 2.88-2.97, 2 Ag 2.90
Au 0.4455 0.9412 0.7927  6 Au 2.80-2.94, 3 Ag 2.91-2.92
Au 0.5545 0.0588 0.2073  6 Au 2.80-2.94, 3 Ag 2.91-2.92
Au 0.6235 0.6235 0.0357  2 Cu 2.68, 4 Au 2.88-2.97, 2 Ag 2.90
Au 0.6514 0.1461 0.6261  1 Cu 2.63, 3 Ag 2.76-2.87, 4 Au 2.79-2.90
Au 0.8539 0.3486 0.3739  1 Cu 2.63, 3 Ag 2.76-2.87, 4 Au 2.79-2.90
Au 0.9412 0.4455 0.7927  6 Au 2.80-2.94, 3 Ag 2.91-2.92
Au 0.9548 0.9548 0.2900  1 Ag 2.81, 2 Cu 2.82, 5 Au 2.84-2.94



3.
## ZnAgSn2 (PBE)

Data for ZnAgSn2 after structural relaxation.

Properties
D(E_F): 0.3757 states/eV per atom
SG: No. 160
ΔH_f (0 K): 0.119 eV/atom

a b c (Å): 6.4330 6.4330 6.4330
angles (deg): 39.12 39.12 39.12
With the nearest neighbours (Å) after each atom.
Fractional coordinates of all 4 atoms:
Zn 0.0000 0.0000 0.0000  6 Sn 2.82-2.84, 1 Ag 2.91
Ag 0.8367 0.8367 0.8367  1 Zn 2.91, 6 Sn 2.94-2.98
Sn 0.4107 0.4107 0.4107  3 Zn 2.84, 3 Ag 2.98
Sn 0.5916 0.5916 0.5916  3 Zn 2.82, 3 Ag 2.94



4.
## HfRe2Rh (PBE)

Data for HfRe2Rh after structural relaxation.

Properties
D(E_F): 1.0147 states/eV per atom
E above lowest polymorph: 0.0 meV per atom
SG: No. 225
ΔH_f (0 K): 0.204 eV/atom

a b c (Å): 4.5063 4.5063 4.5063
angles (deg): 60.00 60.00 60.00
With the nearest neighbours (Å) after each atom.
Fractional coordinates of all 4 atoms:
Hf 0.0000 0.0000 0.0000  8 Re 2.76
Re 0.2500 0.2500 0.2500  4 Hf 2.76, 4 Rh 2.76
Re 0.7500 0.7500 0.7500  4 Hf 2.76, 4 Rh 2.76
Rh 0.5000 0.5000 0.5000  8 Re 2.76



5.
## ErThSn (PBE)

Data for ErThSn after structural relaxation.

Properties
D(E_F): 1.0691 states/eV per atom
E above lowest polymorph: 0.0 meV per atom
SG: No. 139
ΔH_f (0 K): -0.489 eV/atom

a b c (Å): 9.2401 9.2401 9.2401
angles (deg): 151.57 151.57 40.64
With the nearest neighbours (Å) after each atom.
Fractional coordinates of all 6 atoms:
Er 0.1751 0.1751 0.0000  5 Sn 3.12-3.25
Er 0.8249 0.8249 0.0000  5 Sn 3.12-3.25
Th 0.0000 0.5000 0.5000  4 Th 3.21, 4 Sn 3.38
Th 0.5000 0.0000 0.5000  4 Th 3.21, 4 Sn 3.38
Sn 0.3551 0.3551 0.0000  5 Er 3.12-3.25, 4 Th 3.38
Sn 0.6449 0.6449 0.0000  5 Er 3.12-3.25, 4 Th 3.38



6.
## Ce2SmTi (PBE)

Data for Ce2SmTi after structural relaxation.

Properties
D(E_F): 2.6499 states/eV per atom
E above lowest polymorph: 0.0 meV per atom
SG: No. 123
ΔH_f (0 K): 0.196 eV/atom

a b c (Å): 3.2513 3.2513 9.9283
angles (deg): 90.00 90.00 90.00
With the nearest neighbours (Å) after each atom.
Fractional coordinates of all 4 atoms:
Ce 0.0000 0.0000 0.2226  4 Ti 3.19, 4 Ce 3.25
Ce 0.0000 0.0000 0.7774  4 Ti 3.19, 4 Ce 3.25
Sm 0.5000 0.5000 0.5000  4 Sm 3.25, 8 Ce 3.59
Ti 0.5000 0.5000 0.0000  8 Ce 3.19, 4 Ti 3.25



7.
## CrCdPd2 (PBE)

Data for CrCdPd2 after structural relaxation.

Properties
D(E_F): 0.6141 states/eV per atom
SG: No. 122
ΔH_f (0 K): 0.230 eV/atom

a b c (Å): 5.7826 5.7826 5.7826
angles (deg): 103.63 103.63 121.91
With the nearest neighbours (Å) after each atom.
Fractional coordinates of all 8 atoms:
Cr 0.0000 0.0000 0.0000  4 Pd 2.53, 2 Cd 2.81
Cr 0.7500 0.2500 0.5000  4 Pd 2.53, 2 Cd 2.81
Cd 0.2500 0.7500 0.5000  4 Pd 2.72, 2 Cr 2.81
Cd 0.5000 0.5000 0.0000  4 Pd 2.72, 2 Cr 2.81
Pd 0.1056 0.6250 0.9806  2 Cr 2.53, 2 Cd 2.72, 2 Pd 2.82
Pd 0.3750 0.3556 0.4806  2 Cr 2.53, 2 Cd 2.72, 2 Pd 2.82
Pd 0.6444 0.1250 0.0194  2 Cr 2.53, 2 Cd 2.72, 2 Pd 2.82
Pd 0.8750 0.8944 0.5194  2 Cr 2.53, 2 Cd 2.72, 2 Pd 2.82



8.
## Ba2Co2Ag (PBE)

Data for Ba2Co2Ag after structural relaxation.

Properties
D(E_F): 1.1055 states/eV per atom
E above lowest polymorph: 0.0 meV per atom
SG: No. 139
ΔH_f (0 K): 0.337 eV/atom

a b c (Å): 10.5027 10.5027 10.5027
angles (deg): 160.51 160.51 27.70
With the nearest neighbours (Å) after each atom.
Fractional coordinates of all 5 atoms:
Ba 0.1193 0.1193 0.0000  4 Co 3.20, 4 Ag 3.50, 4 Ba 3.56
Ba 0.8807 0.8807 0.0000  4 Co 3.20, 4 Ag 3.50, 4 Ba 3.56
Co 0.2500 0.7500 0.5000  4 Co 2.51
Co 0.7500 0.2500 0.5000  4 Co 2.51
Ag 0.5000 0.5000 0.0000  8 Ba 3.50, 4 Ag 3.56



9.
## SiSeBr (PBE)

Data for SiSeBr after structural relaxation.

Properties
D(E_F): 0.0000 states/eV per atom
E above lowest polymorph: 0.0 meV per atom
SG: No. 2
energy relative to the elements, uncorrected: -154 kJ/mol of formula units

a b c (Å): 3.5831 7.5638 8.1832
angles (deg): 76.75 89.89 86.84
With the nearest neighbours (Å) after each atom.
Fractional coordinates of all 6 atoms:
Si 0.0009 0.4868 0.1463  1 Br 2.23, 2 Se 2.32, 1 Si 2.36
Si 0.9991 0.5132 0.8537  1 Br 2.23, 2 Se 2.32, 1 Si 2.36
Se 0.4795 0.6862 0.7259  2 Si 2.32
Se 0.5205 0.3138 0.2741  2 Si 2.32
Br 0.0324 0.2329 0.8097  1 Si 2.23
Br 0.9676 0.7671 0.1903  1 Si 2.23



10.
## RbMg2Ti (PBE)

Data for RbMg2Ti after structural relaxation.

Properties
D(E_F): 1.3143 states/eV per atom
E above lowest polymorph: 76.8 meV per atom
SG: No. 122
ΔH_f (0 K): 0.899 eV/atom

a b c (Å): 7.1900 7.1900 7.1900
angles (deg): 103.14 103.14 123.04
With the nearest neighbours (Å) after each atom.
Fractional coordinates of all 8 atoms:
Rb 0.0000 0.0000 0.0000  2 Ti 3.43, 8 Mg 3.63-3.83
Rb 0.7500 0.2500 0.5000  2 Ti 3.43, 8 Mg 3.63-3.83
Mg 0.1799 0.6250 0.0549  2 Ti 2.96
Mg 0.3750 0.4299 0.5549  2 Ti 2.96
Mg 0.5701 0.1250 0.9451  2 Ti 2.96
Mg 0.8750 0.8201 0.4451  2 Ti 2.96
Ti 0.2500 0.7500 0.5000  4 Mg 2.96
Ti 0.5000 0.5000 0.0000  4 Mg 2.96



11.
## PuMg2Cd2 (PBE)

Data for PuMg2Cd2 after structural relaxation.

Properties
D(E_F): 2.0460 states/eV per atom
SG: No. 127
ΔH_f (0 K): -0.045 eV/atom

a b c (Å): 8.7796 8.7796 2.9935
angles (deg): 90.00 90.00 90.00
With the nearest neighbours (Å) after each atom.
Fractional coordinates of all 10 atoms:
Pu 0.0000 0.0000 0.0000  2 Pu 2.99
Pu 0.5000 0.5000 0.0000  2 Pu 2.99
Mg 0.1260 0.3740 0.0000  6 Cd 2.93-3.03, 3 Mg 2.99-3.13
Mg 0.3740 0.8740 0.0000  6 Cd 2.93-3.03, 3 Mg 2.99-3.13
Mg 0.6260 0.1260 0.0000  6 Cd 2.93-3.03, 3 Mg 2.99-3.13
Mg 0.8740 0.6260 0.0000  6 Cd 2.93-3.03, 3 Mg 2.99-3.13
Cd 0.1711 0.6711 0.5000  6 Mg 2.93-3.03, 2 Cd 2.99
Cd 0.3289 0.1711 0.5000  6 Mg 2.93-3.03, 2 Cd 2.99
Cd 0.6711 0.8289 0.5000  6 Mg 2.93-3.03, 2 Cd 2.99
Cd 0.8289 0.3289 0.5000  6 Mg 2.93-3.03, 2 Cd 2.99



12.
## LiLa3Cu2 (PBE)

Data for LiLa3Cu2 after structural relaxation.

Properties
D(E_F): 0.8359 states/eV per atom
SG: No. 65
ΔH_f (0 K): -0.066 eV/atom

a b c (Å): 8.2749 8.2749 3.7337
angles (deg): 90.00 90.00 143.40
With the nearest neighbours (Å) after each atom.
Fractional coordinates of all 6 atoms:
Li 0.0000 0.0000 0.0000  8 La 3.20-3.39, 4 Cu 3.54
La 0.1804 0.8196 0.5000  6 Cu 3.21-3.23, 2 Li 3.39, 2 La 3.40
La 0.5000 0.5000 0.5000  4 Cu 3.05, 4 Li 3.20
La 0.8196 0.1804 0.5000  6 Cu 3.21-3.23, 2 Li 3.39, 2 La 3.40
Cu 0.3467 0.6533 0.0000  8 La 3.05-3.23
Cu 0.6533 0.3467 0.0000  8 La 3.05-3.23



Number 7 is which compound?
CrCdPd2